No. 1
Material: Pm2ScCuAu6
Method: DFT, PBE
State: relaxed

POSCAR file:
```
Pm2ScCuAu6
1.0
0.0000 4.9760 4.9760
4.9760 0.0000 4.9760
4.9760 4.9760 0.0000
Pm Sc Cu Au
2 1 1 6
Direct
0.2500 0.2500 0.2500
0.7500 0.7500 0.7500
0.0000 0.0000 0.0000
0.5000 0.5000 0.5000
0.2575 0.2575 0.7425
0.2575 0.7425 0.2575
0.2575 0.7425 0.7425
0.7425 0.2575 0.2575
0.7425 0.2575 0.7425
0.7425 0.7425 0.2575
```

Calculated values
* formation enthalpy at 0 K: -174 meV/atom
* volume: 24.64 Å³ per atom
* space-group type: Fm-3m (225)
* E: -0.1519 hartree per atom

=====

No. 2
Material: Pm2Cu3Si4Au
Method: DFT, PBE
State: relaxed

POSCAR file:
```
Pm2Cu3Si4Au
1.0
4.1479 0.0000 0.0000
0.0000 4.1479 0.0000
0.0000 0.0000 9.9689
Pm Cu Si Au
2 3 4 1
Direct
0.0000 0.5000 0.2413
0.5000 0.0000 0.7587
0.0000 0.5000 0.8763
0.5000 0.0000 0.1237
0.5000 0.5000 0.5000
0.0000 0.0000 0.0000
0.0000 0.5000 0.6397
0.5000 0.0000 0.3603
0.5000 0.5000 0.0000
0.0000 0.0000 0.5000
```

Calculated values
* volume: 17.15 Å³ per atom
* ΔE_f (raw): -0.553 eV/atom
* space-group type: P-4m2 (115)
* E: -0.1922 hartree per atom

=====

No. 3
Material: Pm2Cu4Si3Au
Method: DFT, PBE
State: relaxed

POSCAR file:
```
Pm2Cu4Si3Au
1.0
4.0870 0.0000 0.0000
0.0000 4.0870 0.0000
0.0000 0.0000 10.2529
Pm Cu Si Au
2 4 3 1
Direct
0.0000 0.5000 0.2413
0.5000 0.0000 0.7587
0.0000 0.0000 0.0000
0.0000 0.5000 0.6483
0.5000 0.0000 0.3517
0.5000 0.5000 0.0000
0.0000 0.5000 0.8736
0.5000 0.0000 0.1264
0.5000 0.5000 0.5000
0.0000 0.0000 0.5000
```

Calculated values
* volume: 17.13 Å³ per atom
* ΔE_f (raw): -0.486 eV/atom
* space-group type: P-4m2 (115)
* E: -0.1848 hartree per atom

=====

No. 4
Material: Pm2CuSi4Au3
Method: DFT, PBE
State: relaxed

POSCAR file:
```
Pm2CuSi4Au3
1.0
4.2576 0.0000 0.0000
0.0000 4.2576 0.0000
0.0000 0.0000 10.3744
Pm Cu Si Au
2 1 4 3
Direct
0.0000 0.5000 0.2417
0.5000 0.0000 0.7583
0.5000 0.5000 0.0000
0.0000 0.0000 0.5000
0.0000 0.5000 0.8716
0.5000 0.0000 0.1284
0.5000 0.5000 0.5000
0.0000 0.0000 0.0000
0.0000 0.5000 0.6337
0.5000 0.0000 0.3663
```

Calculated values
* volume: 18.81 Å³ per atom
* ΔE_f (raw): -0.555 eV/atom
* space-group type: P-4m2 (115)
* E: -0.1862 hartree per atom

=====

No. 5
Material: PmSmCuAu
Method: DFT, PBE
State: relaxed

POSCAR file:
```
PmSmCuAu
1.0
7.2654 0.0000 0.0000
0.0000 7.2654 0.0000
0.0000 0.0000 7.2654
Pm Sm Cu Au
4 4 4 4
Direct
0.0000 0.0000 0.0000
0.0000 0.5000 0.5000
0.5000 0.0000 0.5000
0.5000 0.5000 0.0000
0.0000 0.0000 0.5000
0.0000 0.5000 0.0000
0.5000 0.0000 0.0000
0.5000 0.5000 0.5000
0.2500 0.2500 0.7500
0.2500 0.7500 0.2500
0.7500 0.2500 0.2500
0.7500 0.7500 0.7500
0.2500 0.2500 0.2500
0.2500 0.7500 0.7500
0.7500 0.2500 0.7500
0.7500 0.7500 0.2500
```

Calculated values
* formation enthalpy at 0 K: -471 meV/atom
* volume: 23.97 Å³ per atom
* space-group type: F-43m (216)
* offset from the most stable computed form: 0.0362 eV/atom
* E: -0.1720 hartree per atom

=====

No. 6
Material: PmSmCuAu
Method: DFT, PBE
State: relaxed

POSCAR file:
```
PmSmCuAu
1.0
4.6396 0.0000 0.0000
0.0000 3.8953 0.0000
0.0000 0.0000 10.9251
Pm Sm Cu Au
2 2 2 2
Direct
0.0000 0.0000 0.0000
0.0000 0.5000 0.5000
0.5000 0.0000 0.2790
0.5000 0.5000 0.7790
0.5000 0.0000 0.5625
0.5000 0.5000 0.0625
0.0000 0.0000 0.7156
0.0000 0.5000 0.2156
```

Calculated values
* formation enthalpy at 0 K: -507 meV/atom
* volume: 24.68 Å³ per atom
* space-group type: Amm2 (38)
* offset from the most stable computed form: 0.0000 eV/atom
* E: -0.1734 hartree per atom

=====

No. 7
Material: Pm2Cu3Sn4Au
Method: DFT, PBE
State: relaxed

POSCAR file:
```
Pm2Cu3Sn4Au
1.0
4.4896 0.0000 0.0000
0.0000 4.4896 0.0000
0.0000 0.0000 10.8775
Pm Cu Sn Au
2 3 4 1
Direct
0.0000 0.5000 0.2456
0.5000 0.0000 0.7544
0.0000 0.0000 0.0000
0.0000 0.5000 0.6318
0.5000 0.0000 0.3682
0.0000 0.0000 0.5000
0.0000 0.5000 0.8622
0.5000 0.0000 0.1378
0.5000 0.5000 0.5000
0.5000 0.5000 0.0000
```

Calculated values
* formation enthalpy at 0 K: -433 meV/atom
* volume: 21.92 Å³ per atom
* space-group type: P-4m2 (115)
* E: -0.1669 hartree per atom

=====

No. 8
Material: Pm2Cu4Sn3Au
Method: DFT, PBE
State: relaxed

POSCAR file:
```
Pm2Cu4Sn3Au
1.0
4.4294 0.0000 0.0000
0.0000 4.4294 0.0000
0.0000 0.0000 10.4991
Pm Cu Sn Au
2 4 3 1
Direct
0.0000 0.5000 0.2465
0.5000 0.0000 0.7535
0.0000 0.0000 0.0000
0.0000 0.5000 0.6307
0.5000 0.0000 0.3693
0.5000 0.5000 0.0000
0.0000 0.5000 0.8687
0.5000 0.0000 0.1313
0.5000 0.5000 0.5000
0.0000 0.0000 0.5000
```

Calculated values
* formation enthalpy at 0 K: -408 meV/atom
* volume: 20.60 Å³ per atom
* space-group type: P-4m2 (115)
* E: -0.1663 hartree per atom

=====

No. 9
Material: SrPmCuAu
Method: DFT, PBE
State: relaxed

POSCAR file:
```
SrPmCuAu
1.0
7.4142 0.0000 0.0000
0.0000 7.4142 0.0000
0.0000 0.0000 7.4142
Sr Pm Cu Au
4 4 4 4
Direct
0.0000 0.0000 0.0000
0.0000 0.5000 0.5000
0.5000 0.0000 0.5000
0.5000 0.5000 0.0000
0.0000 0.0000 0.5000
0.0000 0.5000 0.0000
0.5000 0.0000 0.0000
0.5000 0.5000 0.5000
0.2500 0.2500 0.2500
0.2500 0.7500 0.7500
0.7500 0.2500 0.7500
0.7500 0.7500 0.2500
0.2500 0.2500 0.7500
0.2500 0.7500 0.2500
0.7500 0.2500 0.2500
0.7500 0.7500 0.7500
```

Calculated values
* formation enthalpy at 0 K: -378 meV/atom
* volume: 25.47 Å³ per atom
* space-group type: F-43m (216)
* E: -0.1407 hartree per atom

=====

No. 10
Material: TbPmCuAu
Method: DFT, PBE
State: relaxed

POSCAR file:
```
TbPmCuAu
1.0
4.5952 0.0000 0.0000
0.0000 3.8345 0.0000
0.0000 0.0000 10.9237
Tb Pm Cu Au
2 2 2 2
Direct
0.0000 0.0000 0.0000
0.0000 0.5000 0.5000
0.5000 0.0000 0.7215
0.5000 0.5000 0.2215
0.0000 0.0000 0.2837
0.0000 0.5000 0.7837
0.5000 0.0000 0.4398
0.5000 0.5000 0.9398
```

Calculated values
* formation enthalpy at 0 K: -527 meV/atom
* volume: 24.06 Å³ per atom
* space-group type: Amm2 (38)
* offset from the most stable computed form: 0.0000 eV/atom
* E: -0.1733 hartree per atom

=====

No. 11
Material: TbPmCuAu
Method: DFT, PBE
State: relaxed

POSCAR file:
```
TbPmCuAu
1.0
7.2063 0.0000 0.0000
0.0000 7.2063 0.0000
0.0000 0.0000 7.2063
Tb Pm Cu Au
4 4 4 4
Direct
0.0000 0.0000 0.0000
0.0000 0.5000 0.5000
0.5000 0.0000 0.5000
0.5000 0.5000 0.0000
0.0000 0.0000 0.5000
0.0000 0.5000 0.0000
0.5000 0.0000 0.0000
0.5000 0.5000 0.5000
0.2500 0.2500 0.2500
0.2500 0.7500 0.7500
0.7500 0.2500 0.7500
0.7500 0.7500 0.2500
0.2500 0.2500 0.7500
0.2500 0.7500 0.2500
0.7500 0.2500 0.2500
0.7500 0.7500 0.7500
```

Calculated values
* formation enthalpy at 0 K: -496 meV/atom
* volume: 23.39 Å³ per atom
* space-group type: F-43m (216)
* offset from the most stable computed form: 0.0309 eV/atom
* E: -0.1721 hartree per atom

=====

No. 12
Material: PmTmCuAu
Method: DFT, PBE
State: relaxed

POSCAR file:
```
PmTmCuAu
1.0
4.5425 0.0000 0.0000
0.0000 3.7765 0.0000
0.0000 0.0000 10.9325
Pm Tm Cu Au
2 2 2 2
Direct
0.0000 0.0000 0.0000
0.0000 0.5000 0.5000
0.5000 0.0000 0.2793
0.5000 0.5000 0.7793
0.5000 0.0000 0.5630
0.5000 0.5000 0.0630
0.0000 0.0000 0.7210
0.0000 0.5000 0.2210
```

Calculated values
* formation enthalpy at 0 K: -537 meV/atom
* volume: 23.44 Å³ per atom
* space-group type: Amm2 (38)
* offset from the most stable computed form: 0.0000 eV/atom
* E: -0.1722 hartree per atom

=====

No. 13
Material: PmTmCuAu
Method: DFT, PBE
State: relaxed

POSCAR file:
```
PmTmCuAu
1.0
7.1451 0.0000 0.0000
0.0000 7.1451 0.0000
0.0000 0.0000 7.1451
Pm Tm Cu Au
4 4 4 4
Direct
0.0000 0.0000 0.0000
0.0000 0.5000 0.5000
0.5000 0.0000 0.5000
0.5000 0.5000 0.0000
0.0000 0.0000 0.5000
0.0000 0.5000 0.0000
0.5000 0.0000 0.0000
0.5000 0.5000 0.5000
0.2500 0.2500 0.2500
0.2500 0.7500 0.7500
0.7500 0.2500 0.7500
0.7500 0.7500 0.2500
0.2500 0.2500 0.7500
0.2500 0.7500 0.2500
0.7500 0.2500 0.2500
0.7500 0.7500 0.7500
```

Calculated values
* formation enthalpy at 0 K: -511 meV/atom
* volume: 22.80 Å³ per atom
* space-group type: F-43m (216)
* offset from the most stable computed form: 0.0251 eV/atom
* E: -0.1713 hartree per atom

=====

No. 14
Material: Pm2Zn12Cu3Au
Method: DFT, PBE
State: relaxed

POSCAR file:
```
Pm2Zn12Cu3Au
1.0
2.9948 1.7291 10.5786
-2.9948 1.7291 10.5786
0.0000 -3.4581 10.5786
Pm Zn Cu Au
2 12 3 1
Direct
0.1395 0.1395 0.1395
0.8605 0.8605 0.8605
0.0907 0.6138 0.6138
0.0925 0.0925 0.6664
0.0925 0.6664 0.0925
0.3336 0.9075 0.9075
0.3862 0.3862 0.9093
0.3862 0.9093 0.3862
0.6138 0.0907 0.6138
0.6138 0.6138 0.0907
0.6664 0.0925 0.0925
0.9075 0.3336 0.9075
0.9075 0.9075 0.3336
0.9093 0.3862 0.3862
0.0000 0.5000 0.5000
0.5000 0.0000 0.5000
0.5000 0.5000 0.0000
0.5000 0.5000 0.5000
```

Calculated values
* formation enthalpy at 0 K: -44 meV/atom
* volume: 18.26 Å³ per atom
* space-group type: R-3m (166)
* E: -0.0840 hartree per atom

=====

No. 15
Material: PmZnCuAu
Method: DFT, PBE
State: relaxed

POSCAR file:
```
PmZnCuAu
1.0
6.8086 0.0000 0.0000
0.0000 6.8086 0.0000
0.0000 0.0000 6.8086
Pm Zn Cu Au
4 4 4 4
Direct
0.0000 0.0000 0.0000
0.0000 0.5000 0.5000
0.5000 0.0000 0.5000
0.5000 0.5000 0.0000
0.0000 0.0000 0.5000
0.0000 0.5000 0.0000
0.5000 0.0000 0.0000
0.5000 0.5000 0.5000
0.2500 0.2500 0.2500
0.2500 0.7500 0.7500
0.7500 0.2500 0.7500
0.7500 0.7500 0.2500
0.2500 0.2500 0.7500
0.2500 0.7500 0.2500
0.7500 0.2500 0.2500
0.7500 0.7500 0.7500
```

Calculated values
* formation enthalpy at 0 K: -351 meV/atom
* volume: 19.73 Å³ per atom
* space-group type: F-43m (216)
* offset from the most stable computed form: 0.0732 eV/atom
* E: -0.1360 hartree per atom

=====

No. 16
Material: PmZn3CuAu
Method: DFT, PBE
State: relaxed

POSCAR file:
```
PmZn3CuAu
1.0
2.9896 -6.3719 0.0000
2.9896 6.3719 0.0000
0.0000 0.0000 5.8760
Pm Zn Cu Au
2 6 2 2
Direct
0.2176 0.7824 0.7500
0.7824 0.2176 0.2500
0.2078 0.2078 0.0000
0.2078 0.2078 0.5000
0.3685 0.6315 0.2500
0.6315 0.3685 0.7500
0.7922 0.7922 0.0000
0.7922 0.7922 0.5000
0.4324 0.5676 0.7500
0.5676 0.4324 0.2500
0.1589 0.8411 0.2500
0.8411 0.1589 0.7500
```

Calculated values
* formation enthalpy at 0 K: -233 meV/atom
* volume: 18.66 Å³ per atom
* space-group type: Cmcm (63)
* E: -0.1062 hartree per atom

=====

No. 17
Material: PmZnCu2Au4
Method: DFT, PBE
State: relaxed

POSCAR file:
```
PmZnCu2Au4
1.0
2.2201 1.2818 8.6698
-2.2201 1.2818 8.6698
0.0000 -2.5636 8.6698
Pm Zn Cu Au
1 1 2 4
Direct
0.0000 0.0000 0.0000
0.5000 0.5000 0.5000
0.2404 0.2404 0.2404
0.7596 0.7596 0.7596
0.1299 0.1299 0.1299
0.3981 0.3981 0.3981
0.6019 0.6019 0.6019
0.8701 0.8701 0.8701
```

Calculated values
* formation enthalpy at 0 K: -312 meV/atom
* volume: 18.50 Å³ per atom
* space-group type: R-3m (166)
* E: -0.1370 hartree per atom

=====

No. 18
Material: PmZnCuAu
Method: DFT, PBE
State: relaxed

POSCAR file:
```
PmZnCuAu
1.0
4.4505 0.0000 0.0000
-2.2253 3.8543 0.0000
0.0000 0.0000 14.0990
Pm Zn Cu Au
3 3 3 3
Direct
0.0000 0.0000 0.0000
0.3333 0.6667 0.6667
0.6667 0.3333 0.3333
0.0000 0.0000 0.4770
0.3333 0.6667 0.1437
0.6667 0.3333 0.8104
0.0000 0.0000 0.7913
0.3333 0.6667 0.4580
0.6667 0.3333 0.1247
0.0000 0.0000 0.2136
0.3333 0.6667 0.8803
0.6667 0.3333 0.5470
```

Calculated values
* formation enthalpy at 0 K: -424 meV/atom
* volume: 20.16 Å³ per atom
* space-group type: R3m (160)
* offset from the most stable computed form: 0.0000 eV/atom
* E: -0.1387 hartree per atom

=====

No. 19
Material: PmZn2CuAu4
Method: DFT, PBE
State: relaxed

POSCAR file:
```
PmZn2CuAu4
1.0
2.2190 1.2811 8.8195
-2.2190 1.2811 8.8195
0.0000 -2.5623 8.8195
Pm Zn Cu Au
1 2 1 4
Direct
0.0000 0.0000 0.0000
0.2390 0.2390 0.2390
0.7610 0.7610 0.7610
0.5000 0.5000 0.5000
0.1323 0.1323 0.1323
0.3988 0.3988 0.3988
0.6012 0.6012 0.6012
0.8677 0.8677 0.8677
```

Calculated values
* formation enthalpy at 0 K: -373 meV/atom
* volume: 18.80 Å³ per atom
* space-group type: R-3m (166)
* E: -0.1263 hartree per atom

=====

No. 20
Material: Pm2Zn3CuAu4
Method: DFT, PBE
State: relaxed

POSCAR file:
```
Pm2Zn3CuAu4
1.0
4.2310 0.0000 0.0000
0.0000 4.2310 0.0000
0.0000 0.0000 11.3249
Pm Zn Cu Au
2 3 1 4
Direct
0.0000 0.5000 0.2410
0.5000 0.0000 0.7590
0.0000 0.0000 0.0000
0.0000 0.5000 0.6371
0.5000 0.0000 0.3629
0.5000 0.5000 0.0000
0.0000 0.0000 0.5000
0.0000 0.5000 0.8615
0.5000 0.0000 0.1385
0.5000 0.5000 0.5000
```

Calculated values
* formation enthalpy at 0 K: -459 meV/atom
* volume: 20.27 Å³ per atom
* space-group type: P-4m2 (115)
* E: -0.1291 hartree per atom

=====

Number 1: total moment 0.000 μB/f.u.. Number 2: total moment 0.000 μB/f.u.. Number 3: total moment 0.000 μB/f.u.. Number 4: total moment 0.000 μB/f.u.. Number 5: total moment 0.000 μB/f.u.. Number 6: total moment 0.000 μB/f.u.. Number 7: total moment 0.000 μB/f.u.. Number 8: total moment 0.000 μB/f.u.. Number 9: total moment 0.000 μB/f.u.. Number 10: total moment 0.000 μB/f.u.. Number 11: total moment 0.000 μB/f.u.. Number 12: total moment 0.000 μB/f.u.. Number 13: total moment 0.000 μB/f.u.. Number 14: total moment 0.000 μB/f.u.. Number 15: total moment 0.000 μB/f.u.. Number 16: total moment 0.000 μB/f.u.. Number 17: total moment 0.000 μB/f.u.. Number 18: total moment 0.000 μB/f.u.. Number 19: total moment 0.000 μB/f.u.. Number 20: total moment 0.000 μB/f.u..